[1]
Mg3Tl4In2 | Alexandria via LeMat-Bulk | PBE | relaxed; raw total energy = -2.2043 eV/atom; space-group type = No. 12; energy relative to the elements = -0.013 eV/atom
1.0
-1.047 -3.175 0.373
3.284 -0.277 6.860
-7.171 4.654 4.320
Tl In Mg
4 2 3
direct
0.215 0.833 0.431 Tl
0.157 0.441 0.314 Tl
0.843 0.559 0.686 Tl
0.785 0.167 0.569 Tl
0.961 0.190 0.922 In
0.039 0.810 0.078 In
0.393 0.891 0.786 Mg
0.500 0.500 0.000 Mg
0.607 0.109 0.214 Mg


[2]
YEr6Mg | Alexandria via LeMat-Bulk | PBE | relaxed; raw total energy = -4.3911 eV/atom; space-group type = No. 123; ΔE to the lowest computed polymorph = 0 meV per atom; energy relative to the elements = 0.038 eV/atom
1.0
4.996 0.000 0.000
0.000 6.885 -0.775
0.000 0.776 6.885
Er Mg Y
6 1 1
direct
0.500 0.000 0.500 Er
0.000 0.747 0.747 Er
0.000 0.253 0.253 Er
0.500 0.500 0.000 Er
0.000 0.253 0.747 Er
0.000 0.747 0.253 Er
0.500 0.000 0.000 Mg
0.500 0.500 0.500 Y


[3]
ThPt4 | Alexandria via LeMat-Bulk | PBE | relaxed; raw total energy = -7.2259 eV/atom; space-group type = No. 74; energy relative to the elements = -0.909 eV/atom
1.0
-3.193 2.910 0.683
-2.247 -1.196 -5.406
-1.329 -5.961 5.173
Pt Th
8 2
direct
0.305 0.784 0.611 Pt
0.695 0.673 0.389 Pt
0.695 0.216 0.389 Pt
0.500 0.500 0.000 Pt
0.105 0.355 0.210 Pt
0.895 0.645 0.790 Pt
0.500 0.000 0.000 Pt
0.305 0.327 0.611 Pt
0.889 0.139 0.778 Th
0.111 0.861 0.222 Th


[4]
ThTcSnRh | Alexandria via LeMat-Bulk | PBE | relaxed; raw total energy = -7.6951 eV/atom; space-group type = No. 216; energy relative to the elements = -0.410 eV/atom
1.0
4.831 0.000 0.000
2.416 4.184 0.000
2.416 1.395 3.945
Sn Rh Tc Th
1 1 1 1
direct
0.250 0.250 0.250 Sn
0.000 0.000 0.000 Rh
0.500 0.500 0.500 Tc
0.750 0.750 0.750 Th


[5]
Nd2ThIn3 | Alexandria via LeMat-Bulk | PBE | relaxed; raw total energy = -4.6124 eV/atom; space-group type = No. 123; energy relative to the elements = -0.417 eV/atom
1.0
3.582 0.000 0.000
0.000 3.582 0.000
0.000 0.000 13.455
Th Nd In
1 2 3
direct
0.500 0.500 0.500 Th
0.500 0.500 0.165 Nd
0.500 0.500 0.835 Nd
0.000 0.000 0.332 In
0.000 0.000 0.668 In
0.000 0.000 0.000 In


[6]
Th2HgPd | Alexandria via LeMat-Bulk | PBE | relaxed; raw total energy = -5.4053 eV/atom; space-group type = No. 166; ΔE to the lowest computed polymorph = 110 meV per atom; energy relative to the elements = -0.322 eV/atom
1.0
-3.322 1.327 -1.767
-2.554 -2.586 -1.646
-6.058 -1.000 6.135
Hg Pd Th
1 1 2
direct
0.500 0.500 0.500 Hg
0.000 0.000 0.000 Pd
0.740 0.740 0.781 Th
0.260 0.260 0.219 Th


[7]
CrTe3Au | Alexandria via LeMat-Bulk | PBE | relaxed; raw total energy = -4.5614 eV/atom; formation energy from raw total energies = -96 meV per atom; space-group type = No. 15; ΔE to the lowest computed polymorph = 0 meV per atom
1.0
7.238 0.109 0.109
1.941 8.632 -0.439
1.941 -0.375 8.635
Te Cr Au
12 4 4
direct
0.818 0.256 0.008 Te
0.142 0.453 0.303 Te
0.642 0.303 0.453 Te
0.318 0.008 0.256 Te
0.858 0.547 0.697 Te
0.358 0.697 0.547 Te
0.644 0.597 0.152 Te
0.856 0.848 0.403 Te
0.144 0.152 0.597 Te
0.682 0.992 0.744 Te
0.182 0.744 0.992 Te
0.356 0.403 0.848 Te
0.750 0.577 0.423 Cr
0.750 0.277 0.723 Cr
0.250 0.423 0.577 Cr
0.250 0.723 0.277 Cr
0.197 0.207 0.050 Au
0.697 0.050 0.207 Au
0.803 0.793 0.950 Au
0.303 0.950 0.793 Au


[8]
CeSBr | Alexandria via LeMat-Bulk | PBE | relaxed; raw total energy = -5.8238 eV/atom; formation energy from raw total energies = -1912 meV per atom; space-group type = No. 11; ΔE to the lowest computed polymorph = 9 meV per atom
1.0
4.267 0.000 -0.590
0.000 5.468 0.000
-0.465 0.000 9.835
S Ce Br
2 2 2
direct
0.276 0.750 0.063 S
0.724 0.250 0.937 S
0.696 0.750 0.871 Ce
0.304 0.250 0.129 Ce
0.109 0.750 0.663 Br
0.891 0.250 0.337 Br


[9]
PmHoAl | Alexandria via LeMat-Bulk | PBE | relaxed; raw total energy = -4.5924 eV/atom; space-group type = No. 194; ΔE to the lowest computed polymorph = 0 meV per atom; energy relative to the elements = -0.235 eV/atom
1.0
-5.296 -0.175 0.417
2.802 -4.514 -0.162
0.522 0.085 6.659
Al Ho Pm
2 2 2
direct
0.667 0.833 0.250 Al
0.333 0.167 0.750 Al
0.333 0.167 0.250 Ho
0.667 0.833 0.750 Ho
0.000 0.500 0.000 Pm
0.000 0.500 0.500 Pm


[10]
La2DyOsC2 | Alexandria via LeMat-Bulk | PBE | relaxed; raw total energy = -7.3928 eV/atom; space-group type = No. 58; energy relative to the elements = -0.037 eV/atom
1.0
-2.396 -3.039 -0.012
3.549 -2.812 3.584
-5.573 4.360 8.938
Dy La C Os
2 4 4 2
direct
0.500 0.500 0.000 Dy
0.000 0.000 0.500 Dy
0.500 0.950 0.792 La
0.000 0.550 0.292 La
0.500 0.050 0.208 La
0.000 0.450 0.708 La
0.500 0.224 0.600 C
0.000 0.276 0.100 C
0.000 0.724 0.900 C
0.500 0.776 0.400 C
0.000 0.000 0.000 Os
0.500 0.500 0.500 Os


[11]
Pm6Ho8Tl | Alexandria via LeMat-Bulk | PBE | relaxed; raw total energy = -4.4189 eV/atom; space-group type = No. 147; energy relative to the elements = 0.081 eV/atom
1.0
6.359 0.000 0.000
0.000 8.177 -4.721
0.000 0.000 9.442
Pm Ho Tl
6 8 1
direct
0.685 0.452 0.361 Pm
0.315 0.548 0.639 Pm
0.685 0.639 0.091 Pm
0.315 0.091 0.452 Pm
0.315 0.361 0.909 Pm
0.685 0.909 0.548 Pm
0.812 0.737 0.776 Ho
0.188 0.263 0.224 Ho
0.812 0.224 0.961 Ho
0.827 0.333 0.667 Ho
0.173 0.667 0.333 Ho
0.812 0.039 0.263 Ho
0.188 0.961 0.737 Ho
0.188 0.776 0.039 Ho
0.500 0.000 0.000 Tl


[12]
K2FePd2 | Alexandria via LeMat-Bulk | PBE | relaxed; raw total energy = -3.9006 eV/atom; space-group type = No. 127; energy relative to the elements = 0.308 eV/atom
1.0
-3.599 5.526 -0.409
-3.115 -1.614 5.598
3.797 2.687 2.888
Fe Pd K
2 4 4
direct
0.500 0.500 0.000 Fe
0.000 0.000 0.000 Fe
0.858 0.642 0.000 Pd
0.358 0.858 0.000 Pd
0.142 0.358 0.000 Pd
0.642 0.142 0.000 Pd
0.822 0.322 0.500 K
0.178 0.678 0.500 K
0.322 0.178 0.500 K
0.678 0.822 0.500 K


[13]
Sm5RuRh2 | Alexandria via LeMat-Bulk | PBE | relaxed; raw total energy = -6.4347 eV/atom; space-group type = No. 55; energy relative to the elements = -0.488 eV/atom
1.0
4.237 0.000 0.000
0.000 7.899 0.000
0.000 0.000 12.138
Rh Ru Sm
4 2 10
direct
0.500 0.962 0.671 Rh
0.500 0.538 0.171 Rh
0.500 0.038 0.329 Rh
0.500 0.462 0.829 Rh
0.000 0.500 0.500 Ru
0.000 0.000 0.000 Ru
0.000 0.665 0.701 Sm
0.500 0.824 0.909 Sm
0.000 0.165 0.799 Sm
0.000 0.500 0.000 Sm
0.500 0.324 0.591 Sm
0.000 0.335 0.299 Sm
0.000 0.000 0.500 Sm
0.000 0.835 0.201 Sm
0.500 0.676 0.409 Sm
0.500 0.176 0.091 Sm


[14]
Pr6BiSb3Te2 | Alexandria via LeMat-Bulk | PBE | relaxed; raw total energy = -5.5398 eV/atom; formation energy from raw total energies = -1272 meV per atom; space-group type = No. 12
1.0
4.569 0.000 0.000
0.000 9.131 0.311
-2.284 -2.647 9.606
Sb Pr Te Bi
3 6 2 1
direct
0.167 0.833 0.334 Sb
0.833 0.167 0.666 Sb
0.500 0.500 0.000 Sb
0.668 0.078 0.336 Pr
0.002 0.747 0.003 Pr
0.664 0.589 0.328 Pr
0.332 0.922 0.664 Pr
0.998 0.253 0.997 Pr
0.336 0.411 0.672 Pr
0.833 0.665 0.665 Te
0.167 0.335 0.335 Te
0.500 0.000 0.000 Bi


[15]
Sr6Hg2Pd | Alexandria via LeMat-Bulk | PBE | relaxed; raw total energy = -2.1639 eV/atom; space-group type = No. 14; energy relative to the elements = -0.399 eV/atom
1.0
-4.000 2.440 -5.895
1.970 -7.208 -4.319
-9.174 -5.008 4.172
Hg Pd Sr
4 2 12
direct
0.445 0.117 0.248 Hg
0.945 0.383 0.748 Hg
0.055 0.617 0.252 Hg
0.555 0.883 0.752 Hg
0.000 0.000 0.500 Pd
0.500 0.500 0.000 Pd
0.333 0.826 0.437 Sr
0.833 0.674 0.937 Sr
0.658 0.187 0.937 Sr
0.158 0.313 0.437 Sr
0.342 0.813 0.063 Sr
0.361 0.534 0.751 Sr
0.139 0.034 0.749 Sr
0.842 0.687 0.563 Sr
0.667 0.174 0.563 Sr
0.167 0.326 0.063 Sr
0.861 0.966 0.251 Sr
0.639 0.466 0.249 Sr


[16]
KRbNa2Cd | Alexandria via LeMat-Bulk | PBE | relaxed; raw total energy = -1.0775 eV/atom; space-group type = No. 123; ΔE to the lowest computed polymorph = 0 meV per atom; energy relative to the elements = 0.046 eV/atom
1.0
-0.770 -4.940 -3.751
5.579 1.101 -2.595
2.918 -3.947 4.599
K Na Cd Rb
1 2 1 1
direct
0.000 0.000 0.500 K
0.500 0.000 0.000 Na
0.000 0.500 0.000 Na
0.000 0.000 0.000 Cd
0.500 0.500 0.500 Rb


[17]
TiRh2W | Alexandria via LeMat-Bulk | PBE | relaxed; raw total energy = -9.2558 eV/atom; space-group type = No. 123; ΔE to the lowest computed polymorph = 0 meV per atom; energy relative to the elements = -0.368 eV/atom
1.0
3.794 0.000 0.000
0.000 3.968 0.000
0.000 0.000 3.968
Ti W Rh
1 1 2
direct
0.500 0.500 0.500 Ti
0.500 0.000 0.000 W
0.000 0.000 0.500 Rh
0.000 0.500 0.000 Rh


[18]
ZnCrAs2 | Alexandria via LeMat-Bulk | PBE | relaxed; raw total energy = -4.9663 eV/atom; space-group type = No. 99; energy relative to the elements = 0.083 eV/atom
1.0
-0.424 -2.196 -2.923
-0.633 -2.854 2.236
-5.129 1.083 -0.070
Cr Zn As
1 1 2
direct
0.000 0.000 0.401 Cr
0.500 0.500 0.848 Zn
0.500 0.500 0.354 As
0.000 0.000 0.897 As


[19]
SiPd3S | Alexandria via LeMat-Bulk | PBE | relaxed; raw total energy = -4.8658 eV/atom; formation energy from raw total energies = 160 meV per atom; space-group type = No. 221; ΔE to the lowest computed polymorph = 0 meV per atom
1.0
-3.795 -1.569 -1.864
0.075 -3.524 2.814
-2.435 2.337 2.992
Si Pd S
1 3 1
direct
0.500 0.500 0.500 Si
0.000 0.500 0.000 Pd
0.500 0.000 0.000 Pd
0.000 0.000 0.500 Pd
0.000 0.000 0.000 S


[20]
CaGa3Ag5 | Alexandria via LeMat-Bulk | PBE | relaxed; raw total energy = -2.9189 eV/atom; space-group type = No. 63; energy relative to the elements = -0.103 eV/atom
1.0
3.308 0.000 0.000
-1.654 7.192 0.000
0.000 0.000 14.903
Ga Ag Ca
6 10 2
direct
0.632 0.265 0.434 Ga
0.368 0.735 0.566 Ga
0.855 0.710 0.250 Ga
0.632 0.265 0.066 Ga
0.145 0.290 0.750 Ga
0.368 0.735 0.934 Ga
0.810 0.621 0.424 Ag
0.529 0.059 0.844 Ag
0.471 0.941 0.156 Ag
0.000 0.000 0.000 Ag
0.190 0.379 0.576 Ag
0.810 0.621 0.076 Ag
0.190 0.379 0.924 Ag
0.471 0.941 0.344 Ag
0.000 0.000 0.500 Ag
0.529 0.059 0.656 Ag
0.161 0.323 0.250 Ca
0.839 0.677 0.750 Ca


| no. | magnetization (Bohr magnetons per cell) |
| --- | --- |
| 1 | 0.00 |
| 2 | 0.00 |
| 3 | 0.00 |
| 4 | 0.00 |
| 5 | 0.00 |
| 6 | 0.00 |
| 7 | 11.15 |
| 8 | 2.00 |
| 9 | 0.00 |
| 10 | 0.00 |
| 11 | 0.00 |
| 12 | 7.04 |
| 13 | 0.00 |
| 14 | 0.00 |
| 15 | 0.00 |
| 16 | 0.00 |
| 17 | 0.00 |
| 18 | 3.01 |
| 19 | 0.00 |
| 20 | 0.00 |